Compound: Ac2PuMnO6
Source: Alexandria via LeMat-Bulk
Functional: GGA+U
Structure: relaxed

The density of states at the Fermi level comes out at 0.559 states/eV per cell. As for the total energy: -8.886 eV/atom.

The space group is P2_1/c (No. 14) and the conventional cell measures 5.961, 6.117 and 10.368 Å, with angles of 90.00, 124.64 and 90.00 degrees. The asymmetric unit holds Ac at (0.236, 0.049, 0.249), Pu at (0.500, 0.000, 0.000), Mn at (0.000, 0.000, 0.500), O at (0.147, 0.200, 0.946), O at (0.239, 0.703, 0.942) and O at (0.356, 0.040, 0.750).